Entry 1:
First-principles (PBE) data for crystalline TbYLuHg at its relaxed geometry, as listed in Alexandria.

## Properties
As for the space group: No. 216. The value obtained for the formation energy is -0.28 eV/f.u.

```
TbYLuHg
1.0
5.388 0.000 0.000
2.694 4.666 0.000
2.694 1.555 4.399
Y Lu Tb Hg
1 1 1 1
direct
0.750 0.750 0.750
0.500 0.500 0.500
0.250 0.250 0.250
0.000 0.000 0.000
```

Entry 2:
First-principles (PBE) data for crystalline Lu2TcHg at its relaxed geometry, as listed in Alexandria.

## Properties
As for the space group: No. 123. The value obtained for the formation energy is -1.30 eV/f.u.

```
Lu2TcHg
1.0
3.447 0.000 0.000
0.000 3.447 0.000
0.000 0.000 7.321
Lu Hg Tc
2 1 1
direct
0.000 0.000 0.782
0.000 0.000 0.218
0.500 0.500 0.500
0.500 0.500 0.000
```

Entry 3:
First-principles (PBE) data for crystalline LuHg2Te at its relaxed geometry, as listed in Alexandria.

## Properties
Its energy relative to the elements, uncorrected is 0.122 eV/atom. As for the space group: No. 166.

```
LuHg2Te
1.0
3.465 0.000 0.000
1.733 3.001 0.000
1.733 1.000 11.363
Lu Te Hg
1 1 2
direct
0.000 0.000 0.000
0.500 0.500 0.500
0.087 0.087 0.739
0.913 0.913 0.261
```